[1]
The following is a DFT calculation (PBE-GGA) of crystalline Tb2Zn3Rh4 at its relaxed geometry.

DFT total energy = -5.333 eV/atom
Total magnetic moment = 0.00 Bohr magnetons per cell
Crystal system = orthorhombic

Unit cell a=5.5980 b=15.4143 c=7.2245 alpha=90.00 beta=90.00 gamma=90.00
Space group Cmce (No. 64)
Inequivalent atoms, fractional coordinates:
Tb  0.0000  0.1034  0.0919 [8 per cell]
Zn  0.0000  0.0000  0.5000 [4 per cell]
Zn  0.2500  0.2351  0.7500 [8 per cell]
Rh  0.0000  0.1692  0.4815 [8 per cell]
Rh  0.2500  0.0683  0.7500 [8 per cell]

=====

[2]
The following is a DFT calculation (PBE-GGA) of crystalline Tb2ZnRh3 at its relaxed geometry.

DFT total energy = -5.862 eV/atom
Energy relative to the lowest polymorph listed for this composition = 0.294 eV per atom
Total magnetic moment = 0.00 Bohr magnetons per cell
Crystal system = orthorhombic

Unit cell a=4.5193 b=5.3450 c=9.6752 alpha=90.00 beta=90.00 gamma=90.00
Space group Immm (No. 71)
Inequivalent atoms, fractional coordinates:
Tb  0.0000  0.0000  0.1856 [4 per cell]
Zn  0.0000  0.0000  0.5000 [2 per cell]
Rh  0.0000  0.5000  0.1360 [4 per cell]
Rh  0.0000  0.5000  0.5000 [2 per cell]

=====

[3]
The following is a DFT calculation (PBE-GGA) of crystalline TbZn4Rh2 at its relaxed geometry.

DFT total energy = -3.963 eV/atom
Total magnetic moment = 0.00 Bohr magnetons per cell
Crystal system = tetragonal

Unit cell a=7.5787 b=7.5787 c=4.1026 alpha=90.00 beta=90.00 gamma=90.00
Space group P4_2/mnm (No. 136)
Inequivalent atoms, fractional coordinates:
Tb  0.0000  0.0000  0.0000 [2 per cell]
Zn  0.0951  0.3512  0.5000 [8 per cell]
Rh  0.2138  0.7862  0.5000 [4 per cell]